[1]
CaTcSe4 (GGA-PBE, relaxed); formation energy without anion corrections = 501 meV per atom
1.0
3.977 2.471 3.386
-1.493 4.326 3.528
-0.140 -0.849 5.714
Se Tc Ca
4 1 1
direct
0.376 0.376 0.873
0.873 0.376 0.376
0.376 0.873 0.376
0.376 0.376 0.376
0.750 0.750 0.750
0.000 0.000 0.000

[2]
LiYTe2Au (GGA-PBE, relaxed); formation energy without anion corrections = 162 meV per atom
1.0
-2.669 2.054 -4.555
3.542 -10.083 -6.622
-4.735 -2.689 1.562
Li Te Au Y
1 2 1 1
direct
0.000 0.500 0.000
0.000 0.000 0.500
0.500 0.000 0.000
0.500 0.500 0.500
0.000 0.000 0.000

[3]
Hf2HgAsCl (GGA-PBE, relaxed); formation energy without anion corrections = 1062 meV per atom
1.0
5.342 0.000 0.000
0.000 4.927 0.000
0.000 0.000 5.342
Hf Cl As Hg
2 1 1 1
direct
0.500 0.000 0.000
0.000 0.000 0.500
0.000 0.500 0.000
0.500 0.500 0.500
0.000 0.000 0.000

[4]
CaMn4W (GGA-PBE, relaxed); formation energy = 0.38 eV/atom
1.0
-3.291 -3.305 1.492
-4.283 -0.417 -2.336
-0.918 -3.951 -2.742
Mn W Ca
4 1 1
direct
0.376 0.874 0.376
0.376 0.376 0.874
0.376 0.376 0.376
0.874 0.376 0.376
0.750 0.750 0.750
0.000 0.000 0.000

| no. | calculated volume (Å³ per cell) |
| --- | --- |
| 1 | 136 |
| 2 | 403 |
| 3 | 141 |
| 4 | 83 |